# 1
# Rb3PaSn2O8 PBE-GGA relaxed
# Total DFT energy (no corrections) (eV per atom): -6.3412
data_Rb3PaSn2O8
_chemical_formula_sum 'Rb3 Pa1 Sn2 O8'
_space_group_name_H-M_alt 'P -3 m 1'
_space_group_IT_number 164
_space_group_name_Hall '-P 3 2"'
_cell_length_a 6.2244
_cell_length_b 6.2244
_cell_length_c 8.1381
_cell_angle_alpha 90.00
_cell_angle_beta 90.00
_cell_angle_gamma 120.00
loop_
_atom_site_label
_atom_site_type_symbol
_atom_site_fract_x
_atom_site_fract_y
_atom_site_fract_z
Rb1 Rb 0.0000 0.0000 0.0000
Rb2 Rb 0.3333 0.6667 0.6813
Pa1 Pa 0.0000 0.0000 0.5000
Sn1 Sn 0.3333 0.6667 0.2342
O1 O 0.1655 0.3310 0.3453
O2 O 0.3333 0.6667 0.0010

# 2
# TaV2Pt PBE-GGA relaxed
# Total DFT energy (no corrections) (eV per atom): -8.7696
# E above lowest polymorph (meV per atom): 539.3
# ΔE_f (kJ/mol of formula units): 102
data_TaV2Pt
_chemical_formula_sum 'Ta4 V8 Pt4'
_space_group_name_H-M_alt 'I -4 2 d'
_space_group_IT_number 122
_space_group_name_Hall 'I -4 2bw'
_cell_length_a 7.101
_cell_length_b 7.101
_cell_length_c 5.238
_cell_angle_alpha 90.00
_cell_angle_beta 90.00
_cell_angle_gamma 90.00
loop_
_atom_site_label
_atom_site_type_symbol
_atom_site_fract_x
_atom_site_fract_y
_atom_site_fract_z
Ta1 Ta 0.000 0.000 0.000
V1 V 0.235 0.250 0.625
Pt1 Pt 0.000 0.000 0.500

# 3
# SmHfPd2 PBE-GGA relaxed
# Total DFT energy (no corrections) (eV per atom): -6.9316
# E above lowest polymorph (meV per atom): 42.1
# ΔE_f (kJ/mol of formula units): -257
data_SmHfPd2
_chemical_formula_sum 'Sm3 Hf3 Pd6'
_space_group_name_H-M_alt 'R -3 m'
_space_group_IT_number 166
_space_group_name_Hall '-R 3 2"'
_cell_length_a 4.6160
_cell_length_b 4.6160
_cell_length_c 14.1902
_cell_angle_alpha 90.00
_cell_angle_beta 90.00
_cell_angle_gamma 120.00
loop_
_atom_site_label
_atom_site_type_symbol
_atom_site_fract_x
_atom_site_fract_y
_atom_site_fract_z
Sm1 Sm 0.0000 0.0000 0.0000
Hf1 Hf 0.0000 0.0000 0.5000
Pd1 Pd 0.0000 0.0000 0.2150

# 4
# YMg2Rh PBE-GGA relaxed
# Total DFT energy (no corrections) (eV per atom): -4.6432
# ΔE_f (kJ/mol of formula units): -151
data_YMg2Rh
_chemical_formula_sum 'Y1 Mg2 Rh1'
_space_group_name_H-M_alt 'P 4 m m'
_space_group_IT_number 99
_cell_length_a 3.370
_cell_length_b 3.370
_cell_length_c 7.576
_cell_angle_alpha 90.00
_cell_angle_beta 90.00
_cell_angle_gamma 90.00
loop_
_space_group_symop_operation_xyz
'x,y,z'
'-y,x,z'
'-x,-y,z'
'y,-x,z'
'-x,y,z'
'y,x,z'
'x,-y,z'
'-y,-x,z'
loop_
_atom_site_label
_atom_site_type_symbol
_atom_site_fract_x
_atom_site_fract_y
_atom_site_fract_z
Y1 Y 0.000 0.000 0.000
Mg1 Mg 0.000 0.000 0.590
Mg2 Mg 0.500 0.500 0.331
Rh1 Rh 0.500 0.500 0.780

# 5
# Pm2Er2In PBE-GGA relaxed
# Total DFT energy (no corrections) (eV per atom): -4.3161
# E above lowest polymorph (meV per atom): 0.0
# ΔE_f (kJ/mol of formula units): -21
data_Pm2Er2In
_chemical_formula_sum 'Pm4 Er4 In2'
_space_group_name_H-M_alt 'P 63/m m c'
_space_group_IT_number 194
_space_group_name_Hall '-P 6c 2c'
_cell_length_a 5.4422
_cell_length_b 5.4422
_cell_length_c 12.1714
_cell_angle_alpha 90.00
_cell_angle_beta 90.00
_cell_angle_gamma 120.00
loop_
_atom_site_label
_atom_site_type_symbol
_atom_site_fract_x
_atom_site_fract_y
_atom_site_fract_z
Pm1 Pm 0.3333 0.6667 0.0889
Er1 Er 0.0000 0.0000 0.0000
Er2 Er 0.3333 0.6667 0.7500
In1 In 0.0000 0.0000 0.2500

# 6
# Ta2HPdRu PBE-GGA relaxed
# Total DFT energy (no corrections) (eV per atom): -8.5300
# E above lowest polymorph (meV per atom): 0.0
data_Ta2HPdRu
_chemical_formula_sum 'Ta2 H1 Pd1 Ru1'
_space_group_name_H-M_alt 'P 4/m m m'
_space_group_IT_number 123
_space_group_name_Hall '-P 4 2'
_cell_length_a 4.109
_cell_length_b 4.109
_cell_length_c 3.944
_cell_angle_alpha 90.00
_cell_angle_beta 90.00
_cell_angle_gamma 90.00
loop_
_atom_site_label
_atom_site_type_symbol
_atom_site_fract_x
_atom_site_fract_y
_atom_site_fract_z
Ta1 Ta 0.000 0.500 0.000
H1 H 0.000 0.000 0.000
Pd1 Pd 0.500 0.500 0.500
Ru1 Ru 0.000 0.000 0.500

# 7
# Sm2BPt6Rh PBE-GGA relaxed
# Total DFT energy (no corrections) (eV per atom): -6.7090
# ΔE_f (kJ/mol of formula units): -712
data_Sm2BPt6Rh
_chemical_formula_sum 'Sm6 B3 Pt18 Rh3'
_space_group_name_H-M_alt 'R -3 m'
_space_group_IT_number 166
_space_group_name_Hall '-R 3 2"'
_cell_length_a 5.5896
_cell_length_b 5.5896
_cell_length_c 20.4675
_cell_angle_alpha 90.00
_cell_angle_beta 90.00
_cell_angle_gamma 120.00
loop_
_atom_site_label
_atom_site_type_symbol
_atom_site_fract_x
_atom_site_fract_y
_atom_site_fract_z
Sm1 Sm 0.0000 0.0000 0.2075
B1 B 0.0000 0.0000 0.0000
Pt1 Pt 0.0122 0.5061 0.2717
Rh1 Rh 0.0000 0.0000 0.5000

# 8
# BaAlAu3 PBE-GGA relaxed
# Total DFT energy (no corrections) (eV per atom): -2.4836
# E above lowest polymorph (meV per atom): 1192.6
# ΔE_f (kJ/mol of formula units): 297
data_BaAlAu3
_chemical_formula_sum 'Ba1 Al1 Au3'
_space_group_name_H-M_alt 'P m -3 m'
_space_group_IT_number 221
_space_group_name_Hall '-P 4 2 3'
_cell_length_a 6.128
_cell_length_b 6.128
_cell_length_c 6.128
_cell_angle_alpha 90.00
_cell_angle_beta 90.00
_cell_angle_gamma 90.00
loop_
_atom_site_label
_atom_site_type_symbol
_atom_site_fract_x
_atom_site_fract_y
_atom_site_fract_z
Ba1 Ba 0.000 0.000 0.000
Al1 Al 0.500 0.500 0.500
Au1 Au 0.000 0.000 0.500